Entry 1:
! CoRe2Ni SCAN PBEsol geometry; values from VASP
! energy = -175.48 eV for the cell shown
! ΔE to the lowest computed polymorph = 0.042 eV/atom
! DFT formation energy = 0.047 eV per atom
! M_tot = 0.507 μB per atom
! space group = I4/mmm (139)
&SYSTEM
  ibrav = 0, nat = 4, ntyp = 3
/
ATOMIC_SPECIES
Co 58.93 Co.upf
Re 186.21 Re.upf
Ni 58.69 Ni.upf
ATOMIC_POSITIONS crystal
Co 0.0000 0.0000 0.0000
Re 0.2500 0.7500 0.5000
Re 0.7500 0.2500 0.5000
Ni 0.5000 0.5000 0.0000
CELL_PARAMETERS angstrom
-1.8249 1.8249 3.7364
1.8249 -1.8249 3.7364
1.8249 1.8249 -3.7364

Entry 2:
! CaLaBi3 SCAN PBEsol geometry; values from VASP
! energy = -288.89 eV for the cell shown
! DFT formation energy = -0.077 eV per atom
! M_tot = 0.000 μB per atom
! space group = Pm-3m (221)
&SYSTEM
  ibrav = 0, nat = 5, ntyp = 3
/
ATOMIC_SPECIES
Ca 40.08 Ca.upf
La 138.91 La.upf
Bi 208.98 Bi.upf
ATOMIC_POSITIONS crystal
Ca 0.0000 0.0000 0.0000
La 0.5000 0.5000 0.5000
Bi 0.0000 0.0000 0.5000
Bi 0.0000 0.5000 0.0000
Bi 0.5000 0.0000 0.0000
CELL_PARAMETERS angstrom
5.6277 0.0000 0.0000
0.0000 5.6277 0.0000
0.0000 0.0000 5.6277

Entry 3:
! CrCo2Mo SCAN PBEsol geometry; values from VASP
! energy = -87.15 eV for the cell shown
! ΔE to the lowest computed polymorph = 0.000 eV/atom
! DFT formation energy = 0.181 eV per atom
! M_tot = 0.081 μB per atom
! space group = P4/mmm (123)
&SYSTEM
  ibrav = 0, nat = 4, ntyp = 3
/
ATOMIC_SPECIES
Cr 52.00 Cr.upf
Co 58.93 Co.upf
Mo 95.94 Mo.upf
ATOMIC_POSITIONS crystal
Cr 0.0000 0.0000 0.0000
Co 0.0000 0.5000 0.5000
Co 0.5000 0.0000 0.5000
Mo 0.5000 0.5000 0.0000
CELL_PARAMETERS angstrom
3.5705 0.0000 0.0000
0.0000 3.5705 0.0000
0.0000 0.0000 3.5886

Entry 4:
! RbCrPb3 SCAN PBEsol geometry; values from VASP
! energy = -259.26 eV for the cell shown
! DFT formation energy = 1.441 eV per atom
! M_tot = 0.936 μB per atom
! space group = Pm-3m (221)
&SYSTEM
  ibrav = 0, nat = 5, ntyp = 3
/
ATOMIC_SPECIES
Rb 85.47 Rb.upf
Cr 52.00 Cr.upf
Pb 207.20 Pb.upf
ATOMIC_POSITIONS crystal
Rb 0.0000 0.0000 0.0000
Cr 0.5000 0.5000 0.5000
Pb 0.0000 0.0000 0.5000
Pb 0.0000 0.5000 0.0000
Pb 0.5000 0.0000 0.0000
CELL_PARAMETERS angstrom
5.9199 0.0000 0.0000
0.0000 5.9199 0.0000
0.0000 0.0000 5.9199

Entry 5:
! InCoOF2 SCAN PBEsol geometry; values from VASP
! energy = -71.86 eV for the cell shown
! M_tot = 0.599 μB per atom
! space group = P4/mmm (123)
! energy relative to the elements, uncorrected = -1570.9 meV per atom
&SYSTEM
  ibrav = 0, nat = 5, ntyp = 4
/
ATOMIC_SPECIES
In 114.82 In.upf
Co 58.93 Co.upf
O 16.00 O.upf
F 19.00 F.upf
ATOMIC_POSITIONS crystal
In 0.0000 0.0000 0.0000
Co 0.5000 0.5000 0.5000
O 0.5000 0.5000 0.0000
F 0.0000 0.5000 0.5000
F 0.5000 0.0000 0.5000
CELL_PARAMETERS angstrom
4.1647 0.0000 0.0000
0.0000 4.1647 0.0000
0.0000 0.0000 3.5919

Entry 6:
! HoFe3B4O12 SCAN PBEsol geometry; values from VASP
! energy = -255.12 eV for the cell shown
! M_tot = 0.150 μB per atom
! space group = R32 (155)
! energy relative to the elements, uncorrected = -2362.7 meV per atom
&SYSTEM
  ibrav = 0, nat = 20, ntyp = 4
/
ATOMIC_SPECIES
Ho 164.93 Ho.upf
Fe 55.84 Fe.upf
B 10.81 B.upf
O 16.00 O.upf
ATOMIC_POSITIONS crystal
Ho 0.0000 0.0000 0.0000
Fe 0.0000 0.5608 0.4392
Fe 0.4392 0.0000 0.5608
Fe 0.5608 0.4392 0.0000
B 0.0617 0.5000 0.9383
B 0.5000 0.5000 0.5000
B 0.5000 0.9383 0.0617
B 0.9383 0.0617 0.5000
O 0.0314 0.6343 0.7801
O 0.0878 0.9122 0.5000
O 0.2199 0.3657 0.9686
O 0.3508 0.6492 0.5000
O 0.3657 0.9686 0.2199
O 0.5000 0.0878 0.9122
O 0.5000 0.3508 0.6492
O 0.6343 0.7801 0.0314
O 0.6492 0.5000 0.3508
O 0.7801 0.0314 0.6343
O 0.9122 0.5000 0.0878
O 0.9686 0.2199 0.3657
CELL_PARAMETERS angstrom
4.6480 2.6835 2.3888
-4.6480 2.6835 2.3888
0.0000 -5.3670 2.3888

Entry 7:
! ZnInFeO2 SCAN PBEsol geometry; values from VASP
! energy = -80.29 eV for the cell shown
! M_tot = 0.638 μB per atom
! space group = P4/mmm (123)
! energy relative to the elements, uncorrected = -558.7 meV per atom
&SYSTEM
  ibrav = 0, nat = 5, ntyp = 4
/
ATOMIC_SPECIES
Zn 65.41 Zn.upf
In 114.82 In.upf
Fe 55.84 Fe.upf
O 16.00 O.upf
ATOMIC_POSITIONS crystal
Zn 0.0000 0.0000 0.0000
In 0.5000 0.5000 0.0000
Fe 0.0000 0.0000 0.5000
O 0.0000 0.5000 0.5000
O 0.5000 0.0000 0.5000
CELL_PARAMETERS angstrom
3.6989 0.0000 0.0000
0.0000 3.6989 0.0000
0.0000 0.0000 4.9397

Entry 8:
! TePtAu SCAN PBEsol geometry; values from VASP
! energy = -176.15 eV for the cell shown
! ΔE to the lowest computed polymorph = 0.311 eV/atom
! M_tot = 0.000 μB per atom
! space group = F-43m (216)
! energy relative to the elements, uncorrected = 151.7 meV per atom
&SYSTEM
  ibrav = 0, nat = 3, ntyp = 3
/
ATOMIC_SPECIES
Te 127.60 Te.upf
Pt 195.08 Pt.upf
Au 196.97 Au.upf
ATOMIC_POSITIONS crystal
Te 0.0000 0.0000 0.0000
Pt 0.7500 0.7500 0.7500
Au 0.2500 0.2500 0.2500
CELL_PARAMETERS angstrom
0.0000 3.1799 3.1799
3.1799 0.0000 3.1799
3.1799 3.1799 0.0000